First-principles (PBE-GGA) data for crystalline MoOs2Se at its relaxed geometry, as listed in Alexandria via LeMat-Bulk. Values from VASP.

Cell and atoms, written as Quantum ESPRESSO input:
```
&SYSTEM
  ibrav = 0, nat = 4, ntyp = 3
/
ATOMIC_SPECIES
Mo 95.94 Mo.upf
Os 190.23 Os.upf
Se 78.96 Se.upf
ATOMIC_POSITIONS crystal
Mo 0.000 0.000 0.000
Os 0.000 0.000 0.508
Os 0.500 0.500 0.342
Se 0.500 0.500 0.837
CELL_PARAMETERS angstrom
2.892 0.000 0.000
0.000 3.964 0.000
0.000 0.000 5.443
```

Results
The calculation puts the total energy at -8.71 eV/atom. The formation energy (no corrections) comes out at 0.49 eV/atom.

---

First-principles (PBE-GGA) data for crystalline Mo2OsSe at its relaxed geometry, as listed in Alexandria via LeMat-Bulk. Values from VASP.

Cell and atoms, written as Quantum ESPRESSO input:
```
&SYSTEM
  ibrav = 0, nat = 4, ntyp = 3
/
ATOMIC_SPECIES
Mo 95.94 Mo.upf
Os 190.23 Os.upf
Se 78.96 Se.upf
ATOMIC_POSITIONS crystal
Mo 0.000 0.000 0.000
Mo 0.500 0.500 0.000
Os 0.000 0.500 0.500
Se 0.500 0.000 0.500
CELL_PARAMETERS angstrom
3.069 0.000 0.000
0.000 4.456 0.000
0.000 0.000 4.543
```

Results
The calculation puts the total energy at -8.68 eV/atom. The formation energy (no corrections) comes out at 0.41 eV/atom.

---

First-principles (PBE-GGA) data for crystalline Mo2OsSe at its relaxed geometry, as listed in Alexandria via LeMat-Bulk. Values from VASP.

Cell and atoms, written as Quantum ESPRESSO input:
```
&SYSTEM
  ibrav = 0, nat = 8, ntyp = 3
/
ATOMIC_SPECIES
Mo 95.94 Mo.upf
Os 190.23 Os.upf
Se 78.96 Se.upf
ATOMIC_POSITIONS crystal
Mo 0.000 0.000 0.000
Mo 0.220 0.000 0.607
Mo 0.500 0.500 0.000
Mo 0.720 0.500 0.607
Os 0.237 0.500 0.125
Os 0.737 0.000 0.125
Se 0.484 0.000 0.477
Se 0.984 0.500 0.477
CELL_PARAMETERS angstrom
9.301 0.000 0.000
0.000 2.976 0.000
-1.223 0.000 4.518
```

Results
The calculation puts the total energy at -8.86 eV/atom. The formation energy (no corrections) comes out at 0.23 eV/atom.

---

First-principles (PBE-GGA) data for crystalline Mo2OsSe at its relaxed geometry, as listed in Alexandria via LeMat-Bulk. Values from VASP.

Cell and atoms, written as Quantum ESPRESSO input:
```
&SYSTEM
  ibrav = 0, nat = 8, ntyp = 3
/
ATOMIC_SPECIES
Mo 95.94 Mo.upf
Os 190.23 Os.upf
Se 78.96 Se.upf
ATOMIC_POSITIONS crystal
Mo 0.236 0.000 0.229
Mo 0.264 0.500 0.771
Mo 0.736 0.500 0.229
Mo 0.764 0.000 0.771
Os 0.000 0.500 0.000
Os 0.500 0.000 0.000
Se 0.000 0.000 0.500
Se 0.500 0.500 0.500
CELL_PARAMETERS angstrom
9.383 0.000 0.000
0.000 3.012 0.000
-0.454 0.000 4.475
```

Results
The calculation puts the total energy at -8.73 eV/atom. The formation energy (no corrections) comes out at 0.37 eV/atom.

---

First-principles (PBE-GGA) data for crystalline Mo3OsSe at its relaxed geometry, as listed in Alexandria via LeMat-Bulk. Values from VASP.

Cell and atoms, written as Quantum ESPRESSO input:
```
&SYSTEM
  ibrav = 0, nat = 5, ntyp = 3
/
ATOMIC_SPECIES
Mo 95.94 Mo.upf
Os 190.23 Os.upf
Se 78.96 Se.upf
ATOMIC_POSITIONS crystal
Mo 0.000 0.000 0.500
Mo 0.000 0.500 0.000
Mo 0.500 0.000 0.000
Os 0.500 0.500 0.500
Se 0.000 0.000 0.000
CELL_PARAMETERS angstrom
4.514 0.000 0.000
0.000 4.514 0.000
0.000 0.000 4.514
```

Results
The relative energy among the computed polymorphs is 0.0000 eV/atom. The calculation puts the total energy at -7.96 eV/atom. The formation energy (no corrections) comes out at 1.48 eV/atom.

---

First-principles (PBE-GGA) data for crystalline MoOsSe2 at its relaxed geometry, as listed in Alexandria via LeMat-Bulk. Values from VASP.

Cell and atoms, written as Quantum ESPRESSO input:
```
&SYSTEM
  ibrav = 0, nat = 16, ntyp = 3
/
ATOMIC_SPECIES
Mo 95.94 Mo.upf
Os 190.23 Os.upf
Se 78.96 Se.upf
ATOMIC_POSITIONS crystal
Mo 0.000 0.000 0.000
Mo 0.000 0.500 0.250
Mo 0.500 0.000 0.750
Mo 0.500 0.500 0.500
Os 0.000 0.000 0.500
Os 0.000 0.500 0.750
Os 0.500 0.000 0.250
Os 0.500 0.500 0.000
Se 0.241 0.250 0.625
Se 0.250 0.741 0.875
Se 0.250 0.759 0.375
Se 0.259 0.250 0.125
Se 0.741 0.750 0.125
Se 0.750 0.241 0.375
Se 0.750 0.259 0.875
Se 0.759 0.750 0.625
CELL_PARAMETERS angstrom
5.641 0.000 0.000
0.000 5.641 0.000
0.000 0.000 10.929
```

Results
The relative energy among the computed polymorphs is 0.5240 eV/atom. The calculation puts the total energy at -6.72 eV/atom. The formation energy (no corrections) comes out at 0.54 eV/atom.

---

First-principles (PBE-GGA) data for crystalline Mo2OsSe at its relaxed geometry, as listed in Alexandria via LeMat-Bulk. Values from VASP.

Cell and atoms, written as Quantum ESPRESSO input:
```
&SYSTEM
  ibrav = 0, nat = 8, ntyp = 3
/
ATOMIC_SPECIES
Mo 95.94 Mo.upf
Os 190.23 Os.upf
Se 78.96 Se.upf
ATOMIC_POSITIONS crystal
Mo 0.000 0.500 0.250
Mo 0.000 0.500 0.750
Mo 0.500 0.000 0.250
Mo 0.500 0.000 0.750
Os 0.000 0.000 0.000
Os 0.500 0.500 0.500
Se 0.000 0.000 0.500
Se 0.500 0.500 0.000
CELL_PARAMETERS angstrom
3.789 0.000 0.000
0.000 3.789 0.000
0.000 0.000 8.629
```

Results
The calculation puts the total energy at -8.59 eV/atom. The formation energy (no corrections) comes out at 0.50 eV/atom.

---

First-principles (PBE-GGA) data for crystalline MoOsSe2 at its relaxed geometry, as listed in Alexandria via LeMat-Bulk. Values from VASP.

Cell and atoms, written as Quantum ESPRESSO input:
```
&SYSTEM
  ibrav = 0, nat = 12, ntyp = 3
/
ATOMIC_SPECIES
Mo 95.94 Mo.upf
Os 190.23 Os.upf
Se 78.96 Se.upf
ATOMIC_POSITIONS crystal
Mo 0.000 0.000 0.000
Mo 0.333 0.667 0.667
Mo 0.667 0.333 0.333
Os 0.000 0.000 0.500
Os 0.333 0.667 0.167
Os 0.667 0.333 0.833
Se 0.000 0.000 0.405
Se 0.000 0.000 0.595
Se 0.333 0.667 0.072
Se 0.333 0.667 0.261
Se 0.667 0.333 0.739
Se 0.667 0.333 0.928
CELL_PARAMETERS angstrom
3.104 0.000 0.000
-1.552 2.688 0.000
0.000 0.000 24.963
```

Results
The relative energy among the computed polymorphs is 0.2410 eV/atom. The calculation puts the total energy at -7.00 eV/atom. The formation energy (no corrections) comes out at 0.25 eV/atom.